A plane-wave DFT calculation with PBE was carried out for a relaxed TbHoPu2As4 crystal.

Values from the calculation:
VASP energy   -8.3356 eV/atom
Size of the total moment   9.9 μB/f.u.
Formation enthalpy at 0 K   -10.2 eV/f.u.
Density of states at the Fermi level   2.662 states/eV per atom

abc: 4.135 7.158 7.117
angles: 109.59 90.00 90.00
Site moments in Bohr magnetons follow the coordinates.
Sites, in units of the cell vectors:
As (0.000, 0.251, 0.748)  0.10
As (0.500, 0.252, 0.253)  0.10
As (0.500, 0.748, 0.747)  0.10
As (0.000, 0.749, 0.252)  0.10
Pu (0.000, 0.500, 0.500)  -5.01
Pu (0.500, 0.000, 0.500)  -5.03
Tb (0.000, 0.000, 0.000)  0.02
Ho (0.500, 0.500, 0.000)  0.04